The following is a DFT calculation (PBE) of KAsBr after structural relaxation.

Summary:
N(E_F): 3.79 states/eV/cell
energy relative to the elements, uncorrected: -11 kJ per mole of atoms
crystal system: tetragonal
total moment: 1.262 Bohr magnetons per cell
density: 3.682 Mg/m³

a = 3.6270 Å, b = 3.6270 Å, c = 13.2975 Å
α = 90.00°, β = 90.00°, γ = 90.00°
Closest atoms and distances in Å follow each position.
Space group I4mm (No. 107)
Inequivalent atoms, fractional coordinates:
K (0.0000, 0.0000, 0.0000) x2  4 Br 3.19
As (0.0000, 0.0000, 0.3070) x2  4 Br 3.37, 4 As 3.63, 4 K 3.63
Br (0.0000, 0.0000, 0.6430) x2  4 K 3.19, 4 As 3.37